A relaxed CaNdCuIr crystal. Source: Alexandria via LeMat-Bulk, functional GGA-PBE.

Energy above the most stable polymorph in this dataset ... 0.0 meV/atom
ρ ... 7.85 g/cm3
ΔE_f ... -0.3961 eV/atom
E ... -42.6 eV for the cell shown

Geometry as CIF:
```
data_CaNdCuIr
_chemical_formula_sum 'Ca2 Nd2 Cu2 Ir2'
_symmetry_space_group_name_H-M 'A m m 2'
_symmetry_Int_Tables_number 38
_cell_length_a 4.164
_cell_length_b 4.064
_cell_length_c 11.008
_cell_angle_alpha 90.00
_cell_angle_beta 90.00
_cell_angle_gamma 90.00
loop_
_symmetry_equiv_pos_as_xyz
'x,y,z'
'-x,-y,z'
'-x,y,z'
'x,-y,z'
'x,y+1/2,z+1/2'
'-x,-y+1/2,z+1/2'
'-x,y+1/2,z+1/2'
'x,-y+1/2,z+1/2'
loop_
_atom_site_label
_atom_site_type_symbol
_atom_site_fract_x
_atom_site_fract_y
_atom_site_fract_z
_atom_site_occupancy
Ca1 Ca 0.000 0.000 0.000 1
Nd1 Nd 0.500 0.000 0.282 1
Cu1 Cu 0.500 0.000 0.574 1
Ir1 Ir 0.000 0.000 0.715 1
```